First-principles (PBE with a Hubbard U) data for a geometry-optimized CoHgPO structure, as listed in OQMD.

Properties
Total magnetic moment ... 2.690 μB/f.u.
Final energy ... -0.14790 Ha/atom
Symmetry ... No. 26

Cell lengths 3.203, 6.893, 6.251 Å; angles 90.00, 90.00, 90.00 degrees
Fractional positions:
Co1 0.000 0.208 0.000
Co2 0.000 0.792 0.500
Hg1 0.500 0.324 0.552
Hg2 0.500 0.676 0.052
P1 0.000 0.096 0.347
P2 0.000 0.904 0.847
O1 0.500 0.354 0.929
O2 0.500 0.646 0.429